An optimized crystal structure of Cd2PdPt2, computed with PBE.

## Properties
Calculated volume: 91.6 Å³/f.u.
Energy relative to the lowest polymorph listed for this composition: 0.0555 eV per atom
Spin magnetization: 0.00 μB/f.u.
D(E_F): 0.52 states/eV/atom
Energy of formation from the pure elements: -127 meV per atom

Cell and atoms, written as POSCAR:
```
Cd2PdPt2
1.0
-0.8897 -0.0646 -3.0426
5.9759 -4.3941 -1.6542
-4.1829 -6.1987 1.3548
Cd Pd Pt
4 2 4
Direct
0.5000 0.1712 0.6712
0.5000 0.6712 0.8288
0.5000 0.8288 0.3288
0.5000 0.3288 0.1712
0.0000 0.0000 0.0000
0.0000 0.5000 0.5000
0.0000 0.3717 0.8717
0.0000 0.8717 0.6283
0.0000 0.6283 0.1283
0.0000 0.1283 0.3717
```